1.
This record from Alexandria describes a PBEsol-optimized structure of Mn2CuCl. The functional is SCAN.

a b c (Å): 6.062 6.062 6.062
angles (deg): 90.00 90.00 90.00
Space group F-43m (No. 216)
Symmetry-distinct sites (fractional):
1 Mn 0.000 0.000 0.000
2 Mn 0.250 0.250 0.250
3 Cu 0.000 0.000 0.500
4 Cl 0.250 0.250 0.750

Properties
**Spin magnetization**: 0.1 μB/cell
**Uncorrected formation energy**: 0.407 eV/atom
**ρ**: 6227 kg/m³

2.
This record from Alexandria describes a PBEsol-optimized structure of MnCuPCl2. The functional is SCAN.

a b c (Å): 4.442 4.442 4.882
angles (deg): 90.00 90.00 90.00
Space group P4/mmm (No. 123)
Symmetry-distinct sites (fractional):
1 Mn 0.000 0.000 0.000
2 Cu 0.500 0.500 0.500
3 P 0.500 0.500 0.000
4 Cl 0.000 0.500 0.500

Properties
**Spin magnetization**: 4.2 μB/cell
**Uncorrected formation energy**: 0.091 eV/atom
**ρ**: 3799 kg/m³

3.
This record from Alexandria describes a PBEsol-optimized structure of Mn2CuPtCl. The functional is SCAN.

a b c (Å): 4.884 4.884 4.691
angles (deg): 90.00 90.00 90.00
Space group P4/mmm (No. 123)
Symmetry-distinct sites (fractional):
1 Mn 0.000 0.500 0.000
2 Cu 0.000 0.000 0.500
3 Pt 0.500 0.500 0.000
4 Cl 0.500 0.500 0.500

Properties
**Spin magnetization**: 9.5 μB/cell
**Uncorrected formation energy**: 0.563 eV/atom
**ρ**: 5996 kg/m³

4.
This record from Alexandria describes a PBEsol-optimized structure of TaMn2CuCl. The functional is SCAN.

a b c (Å): 4.593 4.593 4.653
angles (deg): 90.00 90.00 90.00
Space group P4/mmm (No. 123)
Symmetry-distinct sites (fractional):
1 Ta 0.000 0.000 0.000
2 Mn 0.000 0.500 0.500
3 Cu 0.000 0.000 0.500
4 Cl 0.500 0.500 0.000

Properties
**Spin magnetization**: 7.5 μB/cell
**Uncorrected formation energy**: 0.752 eV/atom
**ρ**: 6595 kg/m³